w:
# La8CdHg2

An optimized crystal structure of La8CdHg2 (PBE, Alexandria).

Cell: 5.8614 8.8315 8.8315 Å, 118.54 101.26 101.26°
Sites, in units of the cell vectors:
Hg 0.0000 0.6939 0.3061
Hg 0.0000 0.3061 0.6939
La 0.9173 0.6957 0.9115
La 0.5000 0.7727 0.2273
La 0.9173 0.9115 0.6957
La 0.0827 0.3043 0.0885
La 0.0827 0.0885 0.3043
La 0.5000 0.2273 0.7727
La 0.6956 0.4006 0.4006
La 0.3044 0.5994 0.5994
Cd 0.5000 0.0000 0.0000

Properties
* symmetry: No. 12
* density of states at the Fermi level: 1.45 states/eV/atom

x:
# La8CdHg2

An optimized crystal structure of La8CdHg2 (PBE, Alexandria).

Cell: 5.2439 8.9502 9.2622 Å, 118.89 106.44 90.00°
Sites, in units of the cell vectors:
La 0.6559 0.8774 0.3117
La 0.3441 0.5657 0.6883
La 0.1407 0.1408 0.2815
La 0.6559 0.4343 0.3117
La 0.0000 0.3315 0.0000
La 0.0000 0.6685 0.0000
La 0.3441 0.1226 0.6883
La 0.8593 0.8592 0.7185
Hg 0.1993 0.6993 0.3987
Hg 0.8007 0.3007 0.6013
Cd 0.5000 0.0000 0.0000

Properties
* symmetry: No. 71
* density of states at the Fermi level: 1.21 states/eV/atom

Stability, highest: x

w:
# La6Cd2Hg

An optimized crystal structure of La6Cd2Hg (PBE, Alexandria).

Cell: 6.6337 8.8918 10.2795 Å, 90.00 83.48 90.00°
Sites, in units of the cell vectors:
Hg 0.5000 0.5000 0.0000
Hg 0.0000 0.0000 0.5000
La 0.9024 0.7124 0.9347
La 0.8527 0.9415 0.2186
La 0.5976 0.2124 0.5653
La 0.0976 0.2876 0.0653
La 0.8655 0.6505 0.5438
La 0.3527 0.5585 0.7186
La 0.4024 0.7876 0.4347
La 0.3655 0.8495 0.0438
La 0.6473 0.4415 0.2814
La 0.1473 0.0585 0.7814
La 0.1345 0.3495 0.4562
La 0.6345 0.1505 0.9562
Cd 0.1006 0.6116 0.2308
Cd 0.3994 0.1116 0.2692
Cd 0.6006 0.8884 0.7308
Cd 0.8994 0.3884 0.7692

Properties
* symmetry: No. 14
* density of states at the Fermi level: 1.29 states/eV/atom

x:
# La6Cd2Hg

An optimized crystal structure of La6Cd2Hg (PBE, Alexandria).

Cell: 5.6500 5.6499 10.6051 Å, 90.01 90.00 120.00°
Sites, in units of the cell vectors:
La 0.6666 0.3333 0.9846
La 0.9999 0.9998 0.1785
La 0.0001 0.0002 0.8215
La 0.3334 0.6667 0.0154
La 0.6667 0.3335 0.6122
La 0.3333 0.6665 0.3878
Cd 0.6666 0.3331 0.2910
Cd 0.3334 0.6669 0.7090
Hg 0.0000 0.0000 0.5000

Properties
* symmetry: No. 164
* density of states at the Fermi level: 1.34 states/eV/atom

Stability, highest: x

w:
# La2CdNiHg

An optimized crystal structure of La2CdNiHg (PBE, Alexandria).

Cell: 5.3483 5.3483 4.9944 Å, 90.00 90.00 90.00°
Sites, in units of the cell vectors:
Ni 0.0000 0.0000 0.0000
La 0.5000 0.0000 0.0000
La 0.0000 0.5000 0.0000
Hg 0.0000 0.0000 0.5000
Cd 0.5000 0.5000 0.5000

Properties
* symmetry: No. 123
* density of states at the Fermi level: 0.92 states/eV/atom

x:
# La2CdNiHg

An optimized crystal structure of La2CdNiHg (PBE, Alexandria).

Cell: 5.3423 5.3423 4.9833 Å, 90.00 90.00 90.00°
Sites, in units of the cell vectors:
La 0.5000 0.0000 0.0000
La 0.0000 0.5000 0.0000
Hg 0.5000 0.5000 0.5000
Cd 0.0000 0.0000 0.5000
Ni 0.0000 0.0000 0.0000

Properties
* symmetry: No. 123
* density of states at the Fermi level: 0.97 states/eV/atom

Stability, highest: x

w:
# LaSmCdHg

An optimized crystal structure of LaSmCdHg (PBE, Alexandria).

Cell: 5.4676 5.4676 5.4676 Å, 60.00 60.00 60.00°
Sites, in units of the cell vectors:
Sm 0.2500 0.2500 0.2500
Cd 0.5000 0.5000 0.5000
Hg 0.0000 0.0000 0.0000
La 0.7500 0.7500 0.7500

Properties
* symmetry: No. 216
* density of states at the Fermi level: 1.14 states/eV/atom

x:
# LaSmCdHg

An optimized crystal structure of LaSmCdHg (PBE, Alexandria).

Cell: 3.8456 3.8456 7.8002 Å, 90.00 90.00 90.00°
Sites, in units of the cell vectors:
Cd 0.0000 0.0000 0.8419
Sm 0.5000 0.5000 0.6039
La 0.5000 0.5000 0.1084
Hg 0.0000 0.0000 0.3738

Properties
* symmetry: No. 99
* density of states at the Fermi level: 1.17 states/eV/atom

Stability, highest: x

w:
# Li2Cd3Hg2

An optimized crystal structure of Li2Cd3Hg2 (PBE, Alexandria).

Cell: 4.7099 3.1227 11.0662 Å, 90.00 103.56 90.00°
Sites, in units of the cell vectors:
Li 0.5733 0.5000 0.1556
Li 0.4267 0.5000 0.8444
Hg 0.1236 0.0000 0.2659
Hg 0.8764 0.0000 0.7341
Cd 0.2924 0.0000 0.5801
Cd 0.0000 0.0000 0.0000
Cd 0.7076 0.0000 0.4199

Properties
* symmetry: No. 10
* density of states at the Fermi level: 0.33 states/eV/atom

x:
# Li2Cd3Hg2

An optimized crystal structure of Li2Cd3Hg2 (PBE, Alexandria).

Cell: 7.7868 7.7868 7.7868 Å, 35.77 35.77 35.77°
Sites, in units of the cell vectors:
Cd 0.5000 0.5000 0.5000
Cd 0.6393 0.6393 0.6393
Cd 0.3607 0.3607 0.3607
Hg 0.9091 0.9091 0.9091
Hg 0.0909 0.0909 0.0909
Li 0.2230 0.2230 0.2230
Li 0.7770 0.7770 0.7770

Properties
* symmetry: No. 166
* density of states at the Fermi level: 0.29 states/eV/atom

Stability, highest: x

w:
# Li2CdHg

An optimized crystal structure of Li2CdHg (PBE, Alexandria).

Cell: 4.7526 4.7526 4.7526 Å, 60.00 60.00 60.00°
Sites, in units of the cell vectors:
Hg 0.2500 0.2500 0.2500
Li 0.0000 0.0000 0.0000
Li 0.7500 0.7500 0.7500
Cd 0.5000 0.5000 0.5000

Properties
* symmetry: No. 216
* density of states at the Fermi level: 0.40 states/eV/atom

x:
# Li2CdHg

An optimized crystal structure of Li2CdHg (PBE, Alexandria).

Cell: 5.2104 5.2104 5.2104 Å, 132.76 132.78 69.02°
Sites, in units of the cell vectors:
Li 0.2500 0.7500 0.5000
Li 0.0001 0.0001 0.0000
Hg 0.7501 0.2501 0.5000
Cd 0.5000 0.5000 0.0000

Properties
* symmetry: No. 119
* density of states at the Fermi level: 0.19 states/eV/atom

y:
# Li2CdHg

An optimized crystal structure of Li2CdHg (PBE, Alexandria).

Cell: 4.6520 3.3756 4.6520 Å, 90.00 90.00 90.00°
Sites, in units of the cell vectors:
Cd 0.0000 0.6252 0.3749
Li 0.5000 0.1253 0.3752
Li 0.0000 0.1246 0.8748
Hg 0.5000 0.6250 0.8751

Properties
* symmetry: No. 123
* density of states at the Fermi level: 0.23 states/eV/atom

Stability, highest: y

w:
# Li2CdHg

An optimized crystal structure of Li2CdHg (PBE, Alexandria).

Cell: 3.2222 3.2222 9.2160 Å, 79.93 79.93 60.00°
Sites, in units of the cell vectors:
Li 0.2523 0.2523 0.2430
Li 0.0810 0.0810 0.7571
Hg 0.6664 0.6664 0.0009
Cd 0.5003 0.5003 0.4990

Properties
* symmetry: No. 160
* density of states at the Fermi level: 0.34 states/eV/atom

x:
# Li2CdHg

An optimized crystal structure of Li2CdHg (PBE, Alexandria).

Cell: 3.3779 3.3559 7.3151 Å, 62.66 90.00 90.00°
Sites, in units of the cell vectors:
Li 0.0000 0.0075 0.9922
Li 0.0000 0.4925 0.5078
Cd 0.5000 0.2500 0.2500
Hg 0.5000 0.7500 0.7500

Properties
* symmetry: No. 47
* density of states at the Fermi level: 0.31 states/eV/atom

y:
# Li2CdHg

An optimized crystal structure of Li2CdHg (PBE, Alexandria).

Cell: 4.7393 5.7465 5.7465 Å, 70.08 90.00 90.00°
Sites, in units of the cell vectors:
Li 0.7499 0.3846 0.8548
Li 0.2501 0.1452 0.6154
Li 0.2501 0.6154 0.1452
Li 0.7499 0.8548 0.3846
Cd 0.7500 0.8806 0.8806
Cd 0.2500 0.1194 0.1194
Hg 0.2499 0.6416 0.6416
Hg 0.7501 0.3584 0.3584

Properties
* symmetry: No. 63
* density of states at the Fermi level: 0.19 states/eV/atom

Stability, highest: y

w:
# Li2CdHg

An optimized crystal structure of Li2CdHg (PBE, Alexandria).

Cell: 7.4282 7.4282 6.0715 Å, 52.29 52.29 90.00°
Sites, in units of the cell vectors:
Hg 0.7500 0.2500 0.5000
Hg 0.0000 0.0000 0.0000
Li 0.3750 0.3645 0.7500
Li 0.6355 0.1250 0.2500
Li 0.1145 0.6250 0.2500
Li 0.8750 0.8855 0.7500
Cd 0.2500 0.7500 0.5000
Cd 0.5000 0.5000 0.0000

Properties
* symmetry: No. 122
* density of states at the Fermi level: 0.45 states/eV/atom

x:
# Li2CdHg

An optimized crystal structure of Li2CdHg (PBE, Alexandria).

Cell: 4.6854 4.6854 4.6854 Å, 60.00 60.00 60.00°
Sites, in units of the cell vectors:
Hg 0.5000 0.5000 0.5000
Cd 0.0000 0.0000 0.0000
Li 0.7500 0.7500 0.7500
Li 0.2500 0.2500 0.2500

Properties
* symmetry: No. 225
* density of states at the Fermi level: 0.34 states/eV/atom

y:
# Li2CdHg

An optimized crystal structure of Li2CdHg (PBE, Alexandria).

Cell: 3.2130 5.4489 5.8766 Å, 51.65 90.00 90.00°
Sites, in units of the cell vectors:
Hg 0.0000 0.0000 0.5000
Cd 0.5000 0.5000 0.5000
Li 0.5000 0.5000 0.0000
Li 0.0000 0.0000 0.0000

Properties
* symmetry: No. 10
* density of states at the Fermi level: 0.26 states/eV/atom

z:
# Li2CdHg

An optimized crystal structure of Li2CdHg (PBE, Alexandria).

Cell: 3.1221 4.0313 6.1636 Å, 90.00 90.00 90.00°
Sites, in units of the cell vectors:
Li 0.5000 0.5000 0.2525
Li 0.0000 0.0000 0.9876
Hg 0.5000 0.5000 0.7865
Cd 0.0000 0.0000 0.4734

Properties
* symmetry: No. 25
* density of states at the Fermi level: 0.32 states/eV/atom

Stability, highest: x

w:
# Li2CdHg

An optimized crystal structure of Li2CdHg (PBE, Alexandria).

Cell: 4.9581 4.9581 5.6179 Å, 80.76 80.76 36.46°
Sites, in units of the cell vectors:
Hg 0.2500 0.2500 0.2500
Cd 0.7500 0.7500 0.7500
Li 0.5020 0.5020 0.4938
Li 0.9980 0.9980 0.0062

Properties
* symmetry: No. 12
* density of states at the Fermi level: 0.35 states/eV/atom

x:
# Li2CdHg

An optimized crystal structure of Li2CdHg (PBE, Alexandria).

Cell: 9.7644 9.7644 9.7644 Å, 18.34 18.34 18.34°
Sites, in units of the cell vectors:
Cd 0.2500 0.2500 0.2500
Li 0.4981 0.4981 0.4981
Li 0.0019 0.0019 0.0019
Hg 0.7500 0.7500 0.7500

Properties
* symmetry: No. 166
* density of states at the Fermi level: 0.42 states/eV/atom

Stability, highest: x

w:
# LiCd4Hg

An optimized crystal structure of LiCd4Hg (PBE, Alexandria).

Cell: 5.2815 8.5138 7.7692 Å, 90.00 49.45 90.00°
Sites, in units of the cell vectors:
Li 0.0000 0.5000 0.5000
Li 0.5000 0.0000 0.5000
Hg 0.5000 0.5000 0.0000
Hg 0.0000 0.0000 0.0000
Cd 0.6754 0.3278 0.2568
Cd 0.1754 0.1722 0.2568
Cd 0.8246 0.8278 0.7432
Cd 0.3246 0.6722 0.7432
Cd 0.6763 0.6723 0.2563
Cd 0.1763 0.8277 0.2563
Cd 0.3237 0.3277 0.7437
Cd 0.8237 0.1723 0.7437

Properties
* symmetry: No. 12
* density of states at the Fermi level: 0.18 states/eV/atom

x:
# LiCd4Hg

An optimized crystal structure of LiCd4Hg (PBE, Alexandria).

Cell: 5.0931 6.2237 8.9159 Å, 69.57 89.97 89.90°
Sites, in units of the cell vectors:
Cd 0.7220 0.6108 0.7802
Cd 0.2220 0.8909 0.2198
Cd 0.7926 0.2890 0.4115
Cd 0.7074 0.7995 0.4115
Cd 0.2074 0.7110 0.5885
Cd 0.2926 0.2005 0.5885
Cd 0.2780 0.3892 0.2198
Cd 0.7780 0.1091 0.7802
Hg 0.2500 0.2956 0.9088
Hg 0.7500 0.7044 0.0912
Li 0.2500 0.7963 0.9074
Li 0.7500 0.2037 0.0926

Properties
* symmetry: No. 15
* density of states at the Fermi level: 0.27 states/eV/atom

Stability, highest: x